Entry from Alexandria: a relaxed Ba3Ge2B6O16 crystal (PBEsol).

abc: 5.1663 7.7235 8.7220
angles: 77.40 77.38 88.17
With the nearest neighbours (Å) after each atom.
Space group P-1 (No. 2)
One atom of each set of equivalent atoms:
Ba (0.0000, 0.0000, 0.0000) x1  8 O 2.71-2.96
Ba (0.1180, 0.5795, 0.7401) x2  8 O 2.73-2.97
Ge (0.2699, 0.1705, 0.5584) x2  4 O 1.76-1.77
B (0.3101, 0.7561, 0.2950) x2  4 O 1.46-1.52
B (0.4624, 0.3038, 0.9729) x2  3 O 1.35-1.42
B (0.4704, 0.0912, 0.2472) x2  4 O 1.46-1.52
O (0.0201, 0.7158, 0.3745) x2  1 B 1.52
O (0.1970, 0.3223, 0.9941) x2  1 B 1.35
O (0.2697, 0.1775, 0.3555) x2  1 B 1.49
O (0.2896, 0.9560, 0.6786) x2  1 B 1.52
O (0.3650, 0.9394, 0.2050) x2  2 B 1.46
O (0.3685, 0.6349, 0.1799) x2  2 B 1.42-1.49
O (0.4134, 0.7752, 0.9017) x2  2 B 1.40-1.49
O (0.4627, 0.7015, 0.4249) x2  1 B 1.50

density of states at the Fermi level: 0.0 states/eV per cell
M_tot: 0.00 μB per formula unit
E_tot: -7.80 eV/atom
raw formation energy: -2.521 eV per atom
crystal system: triclinic
density: 4.4 g cm⁻³